[1]
Cr2Re3Mo6, optimized geometry, DFT GGA-PBE; symmetry = No. 71; magnetization = 0.00 μB/f.u.; electronic total energy = -116.6 eV for the cell shown
1.0
-2.2279 4.4395 4.4496
2.2279 -4.4395 4.4496
2.2279 4.4395 -4.4496
Cr Re Mo
2 3 6
direct
0.0000 0.2313 0.2313
0.0000 0.7687 0.7687
0.3163 0.0000 0.3163
0.5000 0.5000 0.0000
0.6837 0.0000 0.6837
0.0839 0.2518 0.8321
0.2645 0.7645 0.5000
0.4196 0.2518 0.1679
0.5804 0.7482 0.8321
0.7355 0.2355 0.5000
0.9161 0.7482 0.1679

---

[2]
Ta2HPtW, optimized geometry, DFT GGA-PBE; symmetry = No. 123; ΔE to the lowest computed polymorph = 0 meV/atom; magnetization = 0.00 μB/f.u.
1.0
4.2415 0.0000 0.0000
0.0000 4.2415 0.0000
0.0000 0.0000 3.8641
Ta H Pt W
2 1 1 1
direct
0.0000 0.5000 0.0000
0.5000 0.0000 0.0000
0.0000 0.0000 0.0000
0.5000 0.5000 0.5000
0.0000 0.0000 0.5000